# La3ZnGa, relaxed, DFT GGA-PBE
# ΔE_f = -0.348 eV per atom
# distance to the lowest polymorph of the same formula = 0.00 eV per formula unit
data_La3ZnGa
_chemical_formula_sum 'La12 Zn4 Ga4'
_space_group_name_H-M_alt 'C m c m'
_space_group_IT_number 63
_space_group_name_Hall '-C 2c 2'
_cell_length_a 5.407
_cell_length_b 19.566
_cell_length_c 5.404
_cell_angle_alpha 90.00
_cell_angle_beta 90.00
_cell_angle_gamma 90.00
loop_
_atom_site_label
_atom_site_fract_x
_atom_site_fract_y
_atom_site_fract_z
_atom_site_occupancy
La1 0.000 0.062 0.250 1
La2 0.000 0.247 0.250 1
La3 0.000 0.430 0.250 1
Zn1 0.000 0.347 0.750 1
Ga1 0.000 0.154 0.750 1

***

# LiTl2Ni2, relaxed, DFT GGA-PBE
# ΔE_f = 0.078 eV per atom
# distance to the lowest polymorph of the same formula = 0.00 eV per formula unit
data_LiTl2Ni2
_chemical_formula_sum 'Li2 Tl4 Ni4'
_space_group_name_H-M_alt 'P 4/m b m'
_space_group_IT_number 127
_space_group_name_Hall '-P 4 2ab'
_cell_length_a 7.069
_cell_length_b 7.069
_cell_length_c 3.454
_cell_angle_alpha 90.00
_cell_angle_beta 90.00
_cell_angle_gamma 90.00
loop_
_atom_site_label
_atom_site_fract_x
_atom_site_fract_y
_atom_site_fract_z
_atom_site_occupancy
Li1 0.000 0.000 0.000 1
Tl1 0.173 0.327 0.500 1
Ni1 0.126 0.626 0.000 1

***

# Rb4PrNp3O12, relaxed, DFT GGA-PBE
# energy relative to the elements, uncorrected = -5156 kJ/mol of formula units
data_Rb4PrNp3O12
_chemical_formula_sum 'Rb8 Pr2 Np6 O24'
_space_group_name_H-M_alt 'I m -3 m'
_space_group_IT_number 229
_space_group_name_Hall '-I 4 2 3'
_cell_length_a 8.761
_cell_length_b 8.761
_cell_length_c 8.761
_cell_angle_alpha 90.00
_cell_angle_beta 90.00
_cell_angle_gamma 90.00
loop_
_atom_site_label
_atom_site_fract_x
_atom_site_fract_y
_atom_site_fract_z
_atom_site_occupancy
Rb1 0.250 0.250 0.250 1
Pr1 0.000 0.000 0.000 1
Np1 0.000 0.000 0.500 1
O1 0.000 0.000 0.272 1
O2 0.000 0.250 0.500 1

***

# PmGeAu4, relaxed, DFT GGA-PBE
# ΔE_f = -0.352 eV per atom
# distance to the lowest polymorph of the same formula = 0.44 eV per formula unit
data_PmGeAu4
_chemical_formula_sum 'Pm4 Ge4 Au16'
_space_group_name_H-M_alt 'C m c m'
_space_group_IT_number 63
_space_group_name_Hall '-C 2c 2'
_cell_length_a 5.097
_cell_length_b 13.995
_cell_length_c 7.278
_cell_angle_alpha 90.00
_cell_angle_beta 90.00
_cell_angle_gamma 90.00
loop_
_atom_site_label
_atom_site_fract_x
_atom_site_fract_y
_atom_site_fract_z
_atom_site_occupancy
Pm1 0.000 0.119 0.250 1
Ge1 0.000 0.366 0.250 1
Au1 0.000 0.093 0.750 1
Au2 0.000 0.287 0.564 1
Au3 0.000 0.500 0.000 1